# NiIrCl2 (PBE-GGA, relaxed)
# Density of states at the Fermi level: 4.880 states/eV/f.u.
# Volume: 15.7 Å³ per atom
# Final energy: -4.0160 eV/atom
# Spin magnetization: 0.0 μB per formula unit
# Energy relative to the elements, uncorrected: 0.568 eV/atom
data_NiIrCl2
_chemical_formula_sum 'Ni2 Ir2 Cl4'
_symmetry_space_group_name_H-M 'C m m m'
_symmetry_Int_Tables_number 65
_symmetry_space_group_name_Hall '-C 2 2'
_cell_length_a 2.8978
_cell_length_b 5.5643
_cell_length_c 7.8075
_cell_angle_alpha 90.00
_cell_angle_beta 90.00
_cell_angle_gamma 90.00
loop_
_atom_site_label
_atom_site_type_symbol
_atom_site_fract_x
_atom_site_fract_y
_atom_site_fract_z
Ni1 Ni 0.0000 0.0000 0.0000
Ir1 Ir 0.0000 0.0000 0.5000
Cl1 Cl 0.0000 0.5000 0.2298